First-principles (GGA-PBE) data for Ta2NbAu after structural relaxation, as listed in Alexandria via LeMat-Bulk.

abc: 3.9839 3.9839 19.7139
angles: 90.00 90.00 90.00
Last column: nearest neighbours and their distance in Å.
Space group I-42d (No. 122)
One atom of each set of equivalent atoms:
Ta 0.2436 0.2500 0.1250 x8  4 Ta 2.78-2.85, 2 Nb 2.83, 2 Au 2.85
Nb 0.0000 0.0000 0.0000 x4  4 Au 2.82, 4 Ta 2.83
Au 0.0000 0.0000 0.5000 x4  4 Nb 2.82, 4 Ta 2.85

Energy of formation from the pure elements ... 0.530 eV/atom
Total moment ... 0.00 μB/f.u.
V ... 312.89 Å³ per cell